Entry from the Alexandria database: an optimized crystal structure of MnAu3Cl9 (PBE-GGA).

Cell and atoms, written as POSCAR:
```
MnAu3Cl9
1.0
10.326 -3.967 0.000
10.326 3.967 0.000
-9.420 0.000 11.422
Mn Au Cl
2 6 18
direct
0.163 0.837 0.500
0.837 0.163 0.000
0.024 0.818 0.183
0.477 0.623 0.721
0.579 0.931 0.150
0.623 0.477 0.221
0.818 0.024 0.683
0.931 0.579 0.650
0.027 0.736 0.310
0.027 0.889 0.057
0.035 0.681 0.629
0.046 0.109 0.972
0.109 0.046 0.472
0.348 0.892 0.690
0.359 0.530 0.507
0.366 0.577 0.246
0.478 0.867 0.201
0.530 0.359 0.007
0.543 0.751 0.926
0.577 0.366 0.746
0.681 0.035 0.129
0.736 0.027 0.810
0.751 0.543 0.426
0.867 0.478 0.701
0.889 0.027 0.557
0.892 0.348 0.190
```

Results
* M_tot: 2.94 μB per formula unit
* E_form (uncorrected): -5.356 eV/f.u.

***

Entry from the Alexandria database: an optimized crystal structure of KIr2Pt (PBE-GGA).

Cell and atoms, written as POSCAR:
```
KIr2Pt
1.0
2.661 0.000 0.000
0.000 4.239 0.000
0.000 0.000 7.252
K Ir Pt
1 2 1
direct
0.000 0.000 0.000
0.500 0.500 0.331
0.500 0.500 0.669
0.000 0.000 0.500
```

Results
* M_tot: 0.00 μB per formula unit
* energy of formation from the pure elements: 0.581 eV/atom
* energy above the most stable polymorph in this dataset: 264.0 meV per atom

***

| no. | volume (Å³/f.u.) | D(E_F) (states/eV/atom) |
| --- | --- | --- |
| 1 | 468 | 0.114 |
| 2 | 82 | 0.671 |